Pm2PrTm: relaxed, PBE.

Structure (POSCAR):
```
Pm2PrTm
1.0
5.1152 0.0000 0.0000
0.0000 5.1152 0.0000
0.0000 0.0000 5.1421
Pm Pr Tm
2 1 1
Cartesian
0.0000 2.5576 0.0000 Pm
2.5576 0.0000 0.0000 Pm
0.0000 0.0000 2.5711 Pr
2.5576 2.5576 2.5711 Tm
```

Results
Space group = P4/mmm (123)
Density = 7.403 g/cm³
Energy above the lowest structure with this stoichiometry = 0 meV per atom
N(E_F) = 6.20 states/eV per cell
Total DFT energy (no corrections) = -4.672 eV per atom